Record 1
The following is a PBE calculation of an optimized crystal structure of CsBaSi2, from the Alexandria database.

Unit cell a=5.826 b=5.826 c=5.826 alpha=60.00 beta=60.00 gamma=60.00
Element x y z (fractional)
Cs (0.000, 0.000, 0.000)
Ba (0.500, 0.500, 0.500)
Si (0.250, 0.250, 0.250)
Si (0.750, 0.750, 0.750)

The value obtained for the raw formation energy is 0.4995 eV per atom. For the total magnetization, the calculation gives 0.000 μB/atom. The total DFT energy (no corrections) comes out at -2.906 eV per atom.


Record 2
The following is a PBE calculation of an optimized crystal structure of AcLaPm2Tm4, from the Alexandria database.

Unit cell a=7.367 b=7.383 c=9.903 alpha=89.96 beta=89.91 gamma=89.81
Element x y z (fractional)
Ac (0.000, 0.000, 0.000)
Ac (0.000, 0.500, 0.500)
La (0.000, 0.000, 0.500)
La (0.500, 0.000, 0.500)
Pm (0.000, 0.500, 0.000)
Pm (0.500, 0.000, 0.000)
Pm (0.500, 0.500, 0.000)
Pm (0.500, 0.500, 0.500)
Tm (0.256, 0.252, 0.248)
Tm (0.256, 0.252, 0.752)
Tm (0.256, 0.748, 0.248)
Tm (0.256, 0.748, 0.752)
Tm (0.744, 0.252, 0.248)
Tm (0.744, 0.252, 0.752)
Tm (0.744, 0.748, 0.248)
Tm (0.744, 0.748, 0.752)

For the total magnetization, the calculation gives 0.000 μB/atom. The total DFT energy (no corrections) comes out at -4.517 eV per atom. The formation energy comes out at 0.036 eV/atom.


Record 3
The following is a PBE calculation of an optimized crystal structure of NaRe2PdO8, from the Alexandria database.

Unit cell a=5.552 b=5.552 c=7.392 alpha=92.58 beta=92.58 gamma=67.31
Element x y z (fractional)
Na (0.000, 0.000, 0.000)
Re (0.347, 0.347, 0.755)
Re (0.653, 0.653, 0.245)
Pd (0.000, 0.000, 0.500)
O (0.223, 0.223, 0.564)
O (0.223, 0.692, 0.751)
O (0.252, 0.252, 0.953)
O (0.308, 0.777, 0.249)
O (0.692, 0.223, 0.751)
O (0.748, 0.748, 0.047)
O (0.777, 0.308, 0.249)
O (0.777, 0.777, 0.436)

The value obtained for the raw formation energy is -1.4481 eV per atom. For the total magnetization, the calculation gives 0.083 μB/atom. The total DFT energy (no corrections) comes out at -7.371 eV per atom.